# 1
{
  "formula": "HoTlSb2",
  "functional": "PBE",
  "state": "optimized geometry",
  "cell": [[5.014, 0.000, 0.000], [0.000, 5.014, 0.000], [0.000, 0.000, 4.348]],
  "species": ["Ho", "Tl", "Sb", "Sb"],
  "frac_coords": [[0.000, 0.000, 0.000], [0.500, 0.500, 0.000], [0.000, 0.500, 0.500], [0.500, 0.000, 0.500]],
  "n_ef_per_ev_atom": 0.404,
  "raw_formation_energy_kcal_per_mol_atoms": -8.54,
  "relative_energy_kj_per_mol_fu": 37
}

# 2
{
  "formula": "CaHfMg6",
  "functional": "PBE",
  "state": "optimized geometry",
  "cell": [[6.508, 0.000, 0.000], [0.000, 6.508, 0.000], [0.000, 0.000, 4.564]],
  "species": ["Ca", "Hf", "Mg", "Mg", "Mg", "Mg", "Mg", "Mg"],
  "frac_coords": [[0.000, 0.000, 0.000], [0.500, 0.500, 0.000], [0.000, 0.500, 0.000], [0.264, 0.264, 0.500], [0.264, 0.736, 0.500], [0.500, 0.000, 0.000], [0.736, 0.264, 0.500], [0.736, 0.736, 0.500]],
  "e_form_ev_per_atom": 0.059,
  "n_ef_per_ev_atom": 0.635,
  "relative_energy_kj_per_mol_fu": 0
}

# 3
{
  "formula": "As3OsF",
  "functional": "PBE",
  "state": "optimized geometry",
  "cell": [[4.798, 0.000, 0.000], [0.000, 4.798, 0.000], [0.000, 0.000, 4.798]],
  "species": ["As", "As", "As", "Os", "F"],
  "frac_coords": [[0.000, 0.000, 0.500], [0.000, 0.500, 0.000], [0.500, 0.000, 0.000], [0.000, 0.000, 0.000], [0.500, 0.500, 0.500]],
  "n_ef_per_ev_atom": 0.845,
  "raw_formation_energy_kcal_per_mol_atoms": 8.51,
  "relative_energy_kj_per_mol_fu": 0
}

# 4
{
  "formula": "ZrH",
  "functional": "PBE",
  "state": "optimized geometry",
  "cell": [[3.040, 0.000, 0.000], [0.000, 3.052, 0.000], [0.000, 0.000, 5.285]],
  "species": ["Zr", "Zr", "H", "H"],
  "frac_coords": [[0.250, 0.250, 0.248], [0.750, 0.750, 0.752], [0.250, 0.250, 0.833], [0.750, 0.750, 0.167]],
  "n_ef_per_ev_atom": 0.696,
  "dft_energy_ev_per_cell": -25.2
}

# 5
{
  "formula": "Dy3SnGe",
  "functional": "PBE",
  "state": "optimized geometry",
  "cell": [[6.197, -5.505, 0.000], [6.197, 5.505, 0.000], [0.000, 0.000, 8.263]],
  "species": ["Dy", "Dy", "Dy", "Dy", "Dy", "Dy", "Dy", "Dy", "Dy", "Dy", "Dy", "Dy", "Sn", "Sn", "Sn", "Sn", "Ge", "Ge", "Ge", "Ge"],
  "frac_coords": [[0.008, 0.697, 0.416], [0.072, 0.928, 0.807], [0.197, 0.508, 0.916], [0.303, 0.992, 0.416], [0.428, 0.572, 0.307], [0.492, 0.803, 0.916], [0.508, 0.197, 0.084], [0.572, 0.428, 0.693], [0.697, 0.008, 0.584], [0.803, 0.492, 0.084], [0.928, 0.072, 0.193], [0.992, 0.303, 0.584], [0.156, 0.344, 0.250], [0.344, 0.156, 0.750], [0.656, 0.844, 0.250], [0.844, 0.656, 0.750], [0.191, 0.809, 0.128], [0.309, 0.691, 0.628], [0.691, 0.309, 0.372], [0.809, 0.191, 0.872]],
  "e_form_ev_per_atom": -0.629,
  "n_ef_per_ev_atom": 0.545
}

# 6
{
  "formula": "Ce3PrOs",
  "functional": "PBE",
  "state": "optimized geometry",
  "cell": [[3.577, 0.000, 0.000], [0.007, 8.330, 0.000], [1.762, 1.530, 8.939]],
  "species": ["Ce", "Ce", "Ce", "Ce", "Ce", "Ce", "Pr", "Pr", "Os", "Os"],
  "frac_coords": [[0.013, 0.175, 0.481], [0.183, 0.895, 0.137], [0.211, 0.326, 0.078], [0.789, 0.674, 0.922], [0.817, 0.105, 0.863], [0.987, 0.825, 0.519], [0.403, 0.471, 0.691], [0.597, 0.529, 0.309], [0.379, 0.903, 0.740], [0.621, 0.097, 0.260]],
  "e_form_ev_per_atom": -0.034,
  "n_ef_per_ev_atom": 2.202,
  "relative_energy_kj_per_mol_fu": 0
}

# 7
{
  "formula": "LaTa2Pb",
  "functional": "PBE",
  "state": "optimized geometry",
  "cell": [[4.637, -1.564, 0.000], [4.637, 1.564, 0.000], [-0.705, 0.000, 7.013]],
  "species": ["La", "Ta", "Ta", "Pb"],
  "frac_coords": [[0.000, 0.000, 0.000], [0.507, 0.507, 0.445], [0.769, 0.769, 0.293], [0.249, 0.249, 0.679]],
  "e_form_ev_per_atom": 0.408,
  "n_ef_per_ev_atom": 1.235
}

# 8
{
  "formula": "Cr4CdSe8",
  "functional": "PBE",
  "state": "optimized geometry",
  "cell": [[0.000, 5.275, 5.275], [5.275, 0.000, 5.275], [5.275, 5.275, 0.000]],
  "species": ["Cr", "Cr", "Cr", "Cr", "Cd", "Se", "Se", "Se", "Se", "Se", "Se", "Se", "Se"],
  "frac_coords": [[0.383, 0.383, 0.383], [0.383, 0.383, 0.850], [0.383, 0.850, 0.383], [0.850, 0.383, 0.383], [0.000, 0.000, 0.000], [0.141, 0.141, 0.141], [0.141, 0.141, 0.576], [0.141, 0.576, 0.141], [0.141, 0.620, 0.620], [0.576, 0.141, 0.141], [0.620, 0.141, 0.620], [0.620, 0.620, 0.141], [0.620, 0.620, 0.620]],
  "n_ef_per_ev_atom": 0.223,
  "raw_formation_energy_kcal_per_mol_atoms": -11.61
}

- What is the formula in the second record?
  CaHfMg6

Copy entry 7 word for word.
{
  "formula": "LaTa2Pb",
  "functional": "PBE",
  "state": "optimized geometry",
  "cell": [[4.637, -1.564, 0.000], [4.637, 1.564, 0.000], [-0.705, 0.000, 7.013]],
  "species": ["La", "Ta", "Ta", "Pb"],
  "frac_coords": [[0.000, 0.000, 0.000], [0.507, 0.507, 0.445], [0.769, 0.769, 0.293], [0.249, 0.249, 0.679]],
  "e_form_ev_per_atom": 0.408,
  "n_ef_per_ev_atom": 1.235
}